(1)
Entry from the Alexandria database: MnO4 after structural relaxation (PBE+U).

a b c (Å): 3.7776 3.7776 3.7776
angles (deg): 90.00 90.00 90.00
Closest atoms and distances in Å follow each position.
Positions (direct):
Mn 0.0000 0.0000 0.0000  6 O 1.89
O 0.0000 0.0000 0.5000  2 Mn 1.89
O 0.0000 0.5000 0.0000  2 Mn 1.89
O 0.5000 0.0000 0.0000  2 Mn 1.89
O 0.5000 0.5000 0.5000  12 O 2.67

Properties
DOS at the Fermi energy, states/eV/atom: 0.34
VASP energy, eV per atom: -5.151
Space-group type: Pm-3m

(2)
Entry from the Alexandria database: Mn2O3 after structural relaxation (PBE+U).

a b c (Å): 5.1439 5.2955 5.4519
angles (deg): 97.04 106.20 118.27
Closest atoms and distances in Å follow each position.
Positions (direct):
Mn 0.0000 0.0000 0.0000  4 O 1.95-1.98
Mn 0.0000 0.5000 0.5000  4 O 1.96-1.98
Mn 0.3672 0.1828 0.5624  4 O 1.92-2.06
Mn 0.6328 0.8172 0.4376  4 O 1.92-2.06
O 0.1158 0.2223 0.7497  2 Mn 1.92-1.95
O 0.2009 0.3702 0.2998  4 Mn 1.96-2.18
O 0.4282 0.8734 0.6828  3 Mn 1.96-1.99
O 0.5718 0.1266 0.3172  3 Mn 1.96-1.99
O 0.7991 0.6298 0.7002  4 Mn 1.96-2.18
O 0.8842 0.7777 0.2503  2 Mn 1.92-1.95

Properties
DOS at the Fermi energy, states/eV/atom: 0.00
VASP energy, eV per atom: -7.485
Space-group type: P-1

(3)
Entry from the Alexandria database: Mn2O3 after structural relaxation (PBE+U).

a b c (Å): 5.3246 5.3246 15.0449
angles (deg): 90.00 90.00 145.95
Closest atoms and distances in Å follow each position.
Positions (direct):
Mn 0.0862 0.9138 0.6396  3 O 1.83-1.97
Mn 0.0862 0.9138 0.8604  3 O 1.83-1.97
Mn 0.3610 0.6390 0.5472  2 O 1.90-2.01
Mn 0.3610 0.6390 0.9528  2 O 1.90-2.01
Mn 0.6390 0.3610 0.0472  2 O 1.90-2.01
Mn 0.6390 0.3610 0.4528  2 O 1.90-2.01
Mn 0.9138 0.0862 0.1396  3 O 1.83-1.97
Mn 0.9138 0.0862 0.3604  3 O 1.83-1.97
O 0.0000 0.0000 0.0000  6 Mn 2.22-2.28
O 0.0000 0.0000 0.5000  6 Mn 2.22-2.28
O 0.1618 0.8382 0.7500  2 Mn 1.83
O 0.2800 0.7200 0.0749  3 Mn 2.01-2.16
O 0.2800 0.7200 0.4251  3 Mn 2.01-2.16
O 0.4688 0.5312 0.6503  3 Mn 1.90-1.97
O 0.4688 0.5312 0.8497  3 Mn 1.90-1.97
O 0.5312 0.4688 0.1503  3 Mn 1.90-1.97
O 0.5312 0.4688 0.3497  3 Mn 1.90-1.97
O 0.7200 0.2800 0.5749  3 Mn 2.01-2.16
O 0.7200 0.2800 0.9251  3 Mn 2.01-2.16
O 0.8382 0.1618 0.2500  2 Mn 1.83

Properties
DOS at the Fermi energy, states/eV/atom: 0.23
VASP energy, eV per atom: -7.336
Space-group type: Cmcm

(4)
Entry from the Alexandria database: Mn3O4 after structural relaxation (PBE+U).

a b c (Å): 5.8335 5.8335 5.8335
angles (deg): 109.47 109.47 109.47
Closest atoms and distances in Å follow each position.
Positions (direct):
Mn 0.1250 0.7500 0.8750  4 O 2.03
Mn 0.2500 0.6250 0.3750  4 O 2.03
Mn 0.3750 0.2500 0.6250  4 O 2.03
Mn 0.6250 0.3750 0.2500  4 O 2.03
Mn 0.7500 0.8750 0.1250  4 O 2.03
Mn 0.8750 0.1250 0.7500  4 O 2.03
O 0.0000 0.4304 0.5000  3 Mn 2.03
O 0.0000 0.9304 0.5000  3 Mn 2.03
O 0.0696 0.0696 0.0696  3 Mn 2.03
O 0.4304 0.5000 0.0000  3 Mn 2.03
O 0.5000 0.0000 0.4304  3 Mn 2.03
O 0.5000 0.0000 0.9304  3 Mn 2.03
O 0.5696 0.5696 0.5696  3 Mn 2.03
O 0.9304 0.5000 0.0000  3 Mn 2.03

Properties
DOS at the Fermi energy, states/eV/atom: 0.37
VASP energy, eV per atom: -7.507
Space-group type: I-43d

(5)
Entry from the Alexandria database: Mn2O3 after structural relaxation (PBE+U).

a b c (Å): 9.5878 9.6178 9.6276
angles (deg): 90.00 90.00 90.00
Closest atoms and distances in Å follow each position.
Positions (direct):
Mn 0.0000 0.0000 0.0000  6 O 1.98-2.13
Mn 0.0000 0.0000 0.5000  6 O 1.98-2.14
Mn 0.0000 0.5000 0.0000  6 O 1.98-2.14
Mn 0.0000 0.5000 0.5000  6 O 1.98-2.13
Mn 0.0070 0.2435 0.2146  4 O 1.93-2.03
Mn 0.0070 0.2565 0.7146  4 O 1.93-2.03
Mn 0.2158 0.0087 0.7472  4 O 1.94-2.06
Mn 0.2158 0.4913 0.2472  4 O 1.94-2.06
Mn 0.2457 0.7135 0.9988  4 O 1.92-2.06
Mn 0.2457 0.7865 0.4988  4 O 1.92-2.06
Mn 0.2543 0.2135 0.9988  4 O 1.92-2.06
Mn 0.2543 0.2865 0.4988  4 O 1.92-2.06
Mn 0.2842 0.5087 0.7472  4 O 1.94-2.06
Mn 0.2842 0.9913 0.2472  4 O 1.94-2.06
Mn 0.4930 0.7435 0.2146  4 O 1.93-2.03
Mn 0.4930 0.7565 0.7146  4 O 1.93-2.03
Mn 0.5000 0.0000 0.0000  6 O 1.98-2.14
Mn 0.5000 0.0000 0.5000  6 O 1.98-2.13
Mn 0.5000 0.5000 0.0000  6 O 1.98-2.13
Mn 0.5000 0.5000 0.5000  6 O 1.98-2.14
Mn 0.5070 0.2435 0.2854  4 O 1.93-2.03
Mn 0.5070 0.2565 0.7854  4 O 1.93-2.03
Mn 0.7158 0.0087 0.7528  4 O 1.94-2.06
Mn 0.7158 0.4913 0.2528  4 O 1.94-2.06
Mn 0.7457 0.7135 0.5012  4 O 1.92-2.06
Mn 0.7457 0.7865 0.0012  4 O 1.92-2.06
Mn 0.7543 0.2135 0.5012  4 O 1.92-2.06
Mn 0.7543 0.2865 0.0012  4 O 1.92-2.06
Mn 0.7842 0.5087 0.7528  4 O 1.94-2.06
Mn 0.7842 0.9913 0.2528  4 O 1.94-2.06
Mn 0.9930 0.7435 0.2854  4 O 1.93-2.03
Mn 0.9930 0.7565 0.7854  4 O 1.93-2.03
O 0.0814 0.6228 0.1445  3 Mn 1.98-2.06
O 0.0814 0.8772 0.6445  3 Mn 1.98-2.06
O 0.0926 0.1381 0.8529  3 Mn 1.93-2.13
O 0.0926 0.3619 0.3529  3 Mn 1.93-2.13
O 0.1237 0.6412 0.4158  3 Mn 1.98-2.03
O 0.1237 0.8588 0.9158  3 Mn 1.98-2.03
O 0.1373 0.1517 0.5878  3 Mn 1.92-2.14
O 0.1373 0.3483 0.0878  3 Mn 1.92-2.14
O 0.1396 0.5878 0.8705  3 Mn 1.98-2.01
O 0.1396 0.9122 0.3705  3 Mn 1.98-2.01
O 0.1475 0.0801 0.1274  3 Mn 1.94-2.06
O 0.1475 0.4199 0.6274  3 Mn 1.94-2.06
O 0.3525 0.5801 0.1274  3 Mn 1.94-2.06
O 0.3525 0.9199 0.6274  3 Mn 1.94-2.06
O 0.3604 0.0878 0.8705  3 Mn 1.98-2.01
O 0.3604 0.4122 0.3705  3 Mn 1.98-2.01
O 0.3627 0.6517 0.5878  3 Mn 1.92-2.14
O 0.3627 0.8483 0.0878  3 Mn 1.92-2.14
O 0.3763 0.1412 0.4158  3 Mn 1.98-2.03
O 0.3763 0.3588 0.9158  3 Mn 1.98-2.03
O 0.4074 0.6381 0.8529  3 Mn 1.93-2.13
O 0.4074 0.8619 0.3529  3 Mn 1.93-2.13
O 0.4186 0.1228 0.1445  3 Mn 1.98-2.06
O 0.4186 0.3772 0.6445  3 Mn 1.98-2.06
O 0.5814 0.6228 0.3555  3 Mn 1.98-2.06
O 0.5814 0.8772 0.8555  3 Mn 1.98-2.06
O 0.5926 0.1381 0.6471  3 Mn 1.93-2.13
O 0.5926 0.3619 0.1471  3 Mn 1.93-2.13
O 0.6237 0.6412 0.0842  3 Mn 1.98-2.03
O 0.6237 0.8588 0.5842  3 Mn 1.98-2.03
O 0.6373 0.1517 0.9122  3 Mn 1.92-2.14
O 0.6373 0.3483 0.4122  3 Mn 1.92-2.14
O 0.6396 0.5878 0.6295  3 Mn 1.98-2.01
O 0.6396 0.9122 0.1295  3 Mn 1.98-2.01
O 0.6475 0.0801 0.3726  3 Mn 1.94-2.06
O 0.6475 0.4199 0.8726  3 Mn 1.94-2.06
O 0.8525 0.5801 0.3726  3 Mn 1.94-2.06
O 0.8525 0.9199 0.8726  3 Mn 1.94-2.06
O 0.8604 0.0878 0.6295  3 Mn 1.98-2.01
O 0.8604 0.4122 0.1295  3 Mn 1.98-2.01
O 0.8627 0.6517 0.9122  3 Mn 1.92-2.14
O 0.8627 0.8483 0.4122  3 Mn 1.92-2.14
O 0.8763 0.1412 0.0842  3 Mn 1.98-2.03
O 0.8763 0.3588 0.5842  3 Mn 1.98-2.03
O 0.9074 0.6381 0.6471  3 Mn 1.93-2.13
O 0.9074 0.8619 0.1471  3 Mn 1.93-2.13
O 0.9186 0.1228 0.3555  3 Mn 1.98-2.06
O 0.9186 0.3772 0.8555  3 Mn 1.98-2.06

Properties
DOS at the Fermi energy, states/eV/atom: 0.12
VASP energy, eV per atom: -7.559
Space-group type: Pbca

(6)
Entry from the Alexandria database: Mn7O12 after structural relaxation (PBE+U).

a b c (Å): 6.3923 6.3923 6.3923
angles (deg): 109.47 109.47 109.47
Closest atoms and distances in Å follow each position.
Positions (direct):
Mn 0.0000 0.0000 0.5000  6 O 1.96
Mn 0.0000 0.5000 0.0000  6 O 1.96
Mn 0.0000 0.5000 0.5000  4 O 1.95
Mn 0.5000 0.0000 0.0000  6 O 1.96
Mn 0.5000 0.0000 0.5000  4 O 1.95
Mn 0.5000 0.5000 0.0000  4 O 1.95
Mn 0.5000 0.5000 0.5000  6 O 1.96
O 0.1271 0.8107 0.3164  3 Mn 1.95-1.96
O 0.1893 0.3164 0.5056  3 Mn 1.95-1.96
O 0.1893 0.6836 0.8729  3 Mn 1.95-1.96
O 0.3164 0.1271 0.8107  3 Mn 1.95-1.96
O 0.3164 0.5056 0.1893  3 Mn 1.95-1.96
O 0.4944 0.8107 0.6836  3 Mn 1.95-1.96
O 0.5056 0.1893 0.3164  3 Mn 1.95-1.96
O 0.6836 0.4944 0.8107  3 Mn 1.95-1.96
O 0.6836 0.8729 0.1893  3 Mn 1.95-1.96
O 0.8107 0.3164 0.1271  3 Mn 1.95-1.96
O 0.8107 0.6836 0.4944  3 Mn 1.95-1.96
O 0.8729 0.1893 0.6836  3 Mn 1.95-1.96

Properties
DOS at the Fermi energy, states/eV/atom: 0.22
VASP energy, eV per atom: -7.307
Space-group type: Im-3

Q: The lowest DOS at the Fermi energy belongs to which entry?
A: number 2

What did the third record say?
Entry from the Alexandria database: Mn2O3 after structural relaxation (PBE+U).

a b c (Å): 5.3246 5.3246 15.0449
angles (deg): 90.00 90.00 145.95
Closest atoms and distances in Å follow each position.
Positions (direct):
Mn 0.0862 0.9138 0.6396  3 O 1.83-1.97
Mn 0.0862 0.9138 0.8604  3 O 1.83-1.97
Mn 0.3610 0.6390 0.5472  2 O 1.90-2.01
Mn 0.3610 0.6390 0.9528  2 O 1.90-2.01
Mn 0.6390 0.3610 0.0472  2 O 1.90-2.01
Mn 0.6390 0.3610 0.4528  2 O 1.90-2.01
Mn 0.9138 0.0862 0.1396  3 O 1.83-1.97
Mn 0.9138 0.0862 0.3604  3 O 1.83-1.97
O 0.0000 0.0000 0.0000  6 Mn 2.22-2.28
O 0.0000 0.0000 0.5000  6 Mn 2.22-2.28
O 0.1618 0.8382 0.7500  2 Mn 1.83
O 0.2800 0.7200 0.0749  3 Mn 2.01-2.16
O 0.2800 0.7200 0.4251  3 Mn 2.01-2.16
O 0.4688 0.5312 0.6503  3 Mn 1.90-1.97
O 0.4688 0.5312 0.8497  3 Mn 1.90-1.97
O 0.5312 0.4688 0.1503  3 Mn 1.90-1.97
O 0.5312 0.4688 0.3497  3 Mn 1.90-1.97
O 0.7200 0.2800 0.5749  3 Mn 2.01-2.16
O 0.7200 0.2800 0.9251  3 Mn 2.01-2.16
O 0.8382 0.1618 0.2500  2 Mn 1.83

Properties
DOS at the Fermi energy, states/eV/atom: 0.23
VASP energy, eV per atom: -7.336
Space-group type: Cmcm

Q: What is the VASP energy in the first record?
A: -5.151 eV per atom